Record 1
This record from Alexandria describes a geometry-optimized NaTl2Ag structure. The functional is GGA-PBE.

Results
Its density of states at the Fermi level is 0.394 states/eV/atom. Its formation energy is 84 meV/atom. For the calculated total energy, the calculation gives -2.142 eV/atom.

Unit cell a=3.638 b=4.972 c=13.254 alpha=90.00 beta=90.00 gamma=90.00
Fractional coordinates of all 8 atoms:
Na: 0.000 0.000 0.000
Na: 0.500 0.500 0.500
Tl: 0.000 0.000 0.289
Tl: 0.000 0.000 0.711
Tl: 0.500 0.500 0.211
Tl: 0.500 0.500 0.789
Ag: 0.000 0.000 0.500
Ag: 0.500 0.500 0.000

=====

Record 2
This record from Alexandria describes a geometry-optimized Na2Tl4Ag structure. The functional is GGA-PBE.

Results
Its density of states at the Fermi level is 0.356 states/eV/atom. Its formation energy is 100 meV/atom. For the calculated total energy, the calculation gives -2.036 eV/atom. The calculation puts the relative energy among the computed polymorphs at 105.7 meV per atom.

Unit cell a=6.255 b=14.266 c=5.341 alpha=90.00 beta=90.00 gamma=90.00
Fractional coordinates of all 14 atoms:
Na: 0.000 0.139 0.000
Na: 0.000 0.861 0.000
Na: 0.500 0.361 0.000
Na: 0.500 0.639 0.000
Tl: 0.000 0.285 0.500
Tl: 0.000 0.394 0.000
Tl: 0.000 0.606 0.000
Tl: 0.000 0.715 0.500
Tl: 0.500 0.106 0.000
Tl: 0.500 0.215 0.500
Tl: 0.500 0.785 0.500
Tl: 0.500 0.894 0.000
Ag: 0.000 0.500 0.500
Ag: 0.500 0.000 0.500

=====

Record 3
This record from Alexandria describes a geometry-optimized Na3Tl3Ag structure. The functional is GGA-PBE.

Results
Its density of states at the Fermi level is 0.471 states/eV/atom. Its formation energy is -12 meV/atom. For the calculated total energy, the calculation gives -1.999 eV/atom. The calculation puts the relative energy among the computed polymorphs at 27.1 meV per atom.

Unit cell a=7.793 b=7.793 c=8.159 alpha=99.78 beta=99.78 gamma=117.44
Fractional coordinates of all 14 atoms:
Na: 0.111 0.889 0.000
Na: 0.252 0.748 0.500
Na: 0.431 0.431 0.171
Na: 0.569 0.569 0.829
Na: 0.748 0.252 0.500
Na: 0.889 0.111 0.000
Tl: 0.117 0.509 0.839
Tl: 0.220 0.220 0.428
Tl: 0.491 0.883 0.161
Tl: 0.509 0.117 0.839
Tl: 0.780 0.780 0.572
Tl: 0.883 0.491 0.161
Ag: 0.158 0.158 0.757
Ag: 0.842 0.842 0.243

=====

Record 4
This record from Alexandria describes a geometry-optimized Na3Tl4Ag2 structure. The functional is GGA-PBE.

Results
Its density of states at the Fermi level is 0.239 states/eV/atom. Its formation energy is -64 meV/atom. For the calculated total energy, the calculation gives -2.189 eV/atom. The calculation puts the relative energy among the computed polymorphs at 0.0 meV per atom.

Unit cell a=9.037 b=9.037 c=6.661 alpha=90.00 beta=90.00 gamma=120.40
Fractional coordinates of all 18 atoms:
Na: 0.000 0.000 0.250
Na: 0.000 0.000 0.750
Na: 0.327 0.673 0.250
Na: 0.327 0.673 0.750
Na: 0.673 0.327 0.250
Na: 0.673 0.327 0.750
Tl: 0.006 0.679 0.000
Tl: 0.318 0.340 0.500
Tl: 0.321 0.994 0.500
Tl: 0.340 0.318 0.000
Tl: 0.660 0.682 0.000
Tl: 0.679 0.006 0.500
Tl: 0.682 0.660 0.500
Tl: 0.994 0.321 0.000
Ag: 0.002 0.657 0.500
Ag: 0.343 0.998 0.000
Ag: 0.657 0.002 0.000
Ag: 0.998 0.343 0.500